Record 1
Here is an optimized crystal structure of AgTe2BrCl from Alexandria. Energies are from PBE.

Summary:
size of the total moment = 0.52 μB per cell
crystal system = tetragonal
space-group type = No. 123
ρ = 4.3 Mg/m³
N(E_F) = 0.749 states/eV/atom

POSCAR file:
```
AgTe2BrCl
1.0
5.1485 0.0000 0.0000
0.0000 5.1485 0.0000
0.0000 0.0000 6.9417
Te Ag Cl Br
2 1 1 1
direct
0.5000 0.0000 0.0000
0.0000 0.5000 0.0000
0.5000 0.5000 0.5000
0.0000 0.0000 0.0000
0.0000 0.0000 0.5000
```

---

Record 2
Here is an optimized crystal structure of AcPm2NdN4 from Alexandria. Energies are from PBE.

Summary:
size of the total moment = 0.00 μB per cell
crystal system = monoclinic
space-group type = No. 10
ρ = 8.3 Mg/m³
N(E_F) = 0.141 states/eV/atom

POSCAR file:
```
AcPm2NdN4
1.0
-0.4683 -3.6256 -0.5442
1.3030 -1.0970 6.1880
-5.4417 0.1942 3.3887
Ac N Nd Pm
1 4 1 2
direct
0.0000 0.5000 0.5000
0.0000 0.2438 0.2467
0.5000 0.2383 0.7597
0.5000 0.7617 0.2403
0.0000 0.7562 0.7533
0.5000 0.5000 0.0000
0.0000 0.0000 0.0000
0.5000 0.0000 0.5000
```

---

Record 3
Here is an optimized crystal structure of CsAlAgF6 from Alexandria. Energies are from PBE.

Summary:
size of the total moment = 0.00 μB per cell
crystal system = orthorhombic
space-group type = No. 62
ρ = 4.3 Mg/m³
N(E_F) = 0.221 states/eV/atom
energy above the lowest structure with this stoichiometry = 0.0 meV/atom

POSCAR file:
```
CsAlAgF6
1.0
-6.7968 1.4789 -2.3567
-2.6559 -5.9022 3.9557
-1.5233 6.2643 8.3242
F Cs Al Ag
24 4 4 4
direct
0.9868 0.8681 0.1449
0.5132 0.3681 0.3551
0.4868 0.1319 0.8551
0.9868 0.3681 0.3551
0.0132 0.1319 0.8551
0.9706 0.2995 0.5931
0.0294 0.7005 0.4069
0.4868 0.6319 0.6449
0.4706 0.2005 0.0931
0.4706 0.7005 0.4069
0.5294 0.7995 0.9069
0.7500 0.0356 0.0051
0.7500 0.9624 0.6705
0.7500 0.4624 0.8295
0.2500 0.9644 0.9949
0.5132 0.8681 0.1449
0.7500 0.5356 0.4949
0.2500 0.5376 0.1705
0.0294 0.2005 0.0931
0.2500 0.0376 0.3295
0.0132 0.6319 0.6449
0.5294 0.2995 0.5931
0.2500 0.4644 0.5051
0.9706 0.7995 0.9069
0.2500 0.4787 0.8662
0.7500 0.5213 0.1338
0.2500 0.9787 0.6338
0.7500 0.0213 0.3662
0.5000 0.0000 0.0000
0.0000 0.0000 0.0000
0.0000 0.5000 0.5000
0.5000 0.5000 0.5000
0.7500 0.2153 0.7456
0.7500 0.7153 0.7544
0.2500 0.2847 0.2456
0.2500 0.7847 0.2544
```

---

Record 4
Here is an optimized crystal structure of RbGa2H6 from Alexandria. Energies are from PBE.

Summary:
size of the total moment = 0.00 μB per cell
crystal system = cubic
space-group type = No. 225
ρ = 3.4 Mg/m³
N(E_F) = 0.234 states/eV/atom
energy above the lowest structure with this stoichiometry = 776.2 meV/atom

POSCAR file:
```
RbGa2H6
1.0
1.5826 -5.0414 1.3031
5.1040 -1.5962 -1.0099
3.4712 -0.7834 4.1177
H Ga Rb
6 2 1
direct
0.3760 0.6240 0.6240
0.6240 0.3760 0.3760
0.3760 0.3760 0.6240
0.6240 0.6240 0.3760
0.6240 0.3760 0.6240
0.3760 0.6240 0.3760
0.2500 0.2500 0.2500
0.7500 0.7500 0.7500
0.0000 0.0000 0.0000
```

---

Record 5
Here is an optimized crystal structure of HoGe2O6 from Alexandria. Energies are from PBE.

Summary:
size of the total moment = 2.08 μB per cell
crystal system = monoclinic
space-group type = No. 15
ρ = 4.6 Mg/m³

POSCAR file:
```
HoGe2O6
1.0
-3.3134 -4.3832 -1.6920
-0.2230 -4.2515 5.9233
-6.6541 2.0609 2.1647
O Ge Ho
12 4 2
direct
0.8762 0.0733 0.1635
0.9744 0.3859 0.3330
0.8052 0.0849 0.5733
0.1238 0.9267 0.8365
0.4744 0.3330 0.3859
0.3052 0.5733 0.0849
0.6948 0.4267 0.9151
0.0256 0.6141 0.6670
0.6238 0.8365 0.9267
0.1948 0.9151 0.4267
0.3762 0.1635 0.0733
0.5256 0.6670 0.6141
0.7852 0.2173 0.3564
0.2852 0.3564 0.2173
0.2148 0.7827 0.6436
0.7148 0.6436 0.7827
0.2500 0.8895 0.1105
0.7500 0.1105 0.8895
```

---

Record 6
Here is an optimized crystal structure of La2Zr from Alexandria. Energies are from PBE.

Summary:
size of the total moment = 0.00 μB per cell
crystal system = tetragonal
space-group type = No. 140
ρ = 6.4 Mg/m³
N(E_F) = 1.467 states/eV/atom
energy above the lowest structure with this stoichiometry = 93.6 meV/atom
DFT formation energy = 217 meV per atom

POSCAR file:
```
La2Zr
1.0
3.9680 -1.4751 4.7211
1.5022 4.8533 -3.7945
-5.4009 1.7206 2.8425
La Zr
4 2
direct
0.6572 0.1572 0.8144
0.1572 0.3428 0.5000
0.3428 0.8428 0.1856
0.8428 0.6572 0.5000
0.7500 0.7500 0.0000
0.2500 0.2500 0.0000
```

---

Record 7
Here is an optimized crystal structure of Be3Tl from Alexandria. Energies are from PBE.

Summary:
size of the total moment = 0.00 μB per cell
crystal system = hexagonal
space-group type = No. 187
ρ = 6.6 Mg/m³
N(E_F) = 0.166 states/eV/atom
energy above the lowest structure with this stoichiometry = 241.4 meV/atom
DFT formation energy = 598 meV per atom

POSCAR file:
```
Be3Tl
1.0
-0.6818 3.6000 -0.5138
-2.2295 -2.0156 2.1577
2.7816 1.0812 3.8842
Tl Be
1 3
direct
0.6667 0.3333 0.7500
0.0000 0.0000 0.0396
0.6667 0.3333 0.2500
0.0000 0.0000 0.4604
```

---

Record 8
Here is an optimized crystal structure of Zr2OsPb from Alexandria. Energies are from PBE.

Summary:
size of the total moment = 0.00 μB per cell
crystal system = orthorhombic
space-group type = No. 65
ρ = 11.9 Mg/m³
N(E_F) = 0.744 states/eV/atom
DFT formation energy = -47 meV per atom

POSCAR file:
```
Zr2OsPb
1.0
-0.4174 -4.6415 1.9862
5.3547 4.1751 1.4616
0.2005 1.2775 3.0186
Pb Zr Os
1 2 1
direct
0.5000 0.0000 0.5000
0.0000 0.5000 0.5000
0.0000 0.0000 0.0000
0.5000 0.5000 0.0000
```

---

no.,VASP energy (eV per atom)
1,-1.90
2,-7.74
3,-4.71
4,-2.22
5,-6.83
6,-5.92
7,-2.79
8,-8.06